Below is a relaxed structure of AlBiO2, with properties calculated at the PBE level.

Cell lengths 5.271, 5.271, 5.765 Å; angles 62.79, 62.79, 90.00 degrees
Fractional coordinates of all 8 atoms:
Al: 0.500 0.500 0.000
Al: 0.250 0.750 0.500
O: 0.875 0.712 0.750
O: 0.375 0.538 0.750
O: 0.462 0.125 0.250
O: 0.288 0.625 0.250
Bi: 0.750 0.250 0.500
Bi: 0.000 0.000 0.000

## Properties
crystal system: tetragonal
energy above the most stable polymorph in this dataset: 0.0666 eV/atom
SG: I-42d

Below is a relaxed structure of AlBiP2O, with properties calculated at the PBE level.

Cell lengths 5.278, 5.278, 4.144 Å; angles 90.00, 90.00, 90.00 degrees
Fractional coordinates of all 5 atoms:
O: 0.000 0.000 0.500
P: 0.500 0.000 0.000
P: 0.000 0.500 0.000
Bi: 0.000 0.000 0.000
Al: 0.500 0.500 0.500

## Properties
crystal system: tetragonal
energy above the most stable polymorph in this dataset: 1.0387 eV/atom
SG: P4/mmm

Below is a relaxed structure of AlBiP2O, with properties calculated at the PBE level.

Cell lengths 5.114, 5.114, 3.447 Å; angles 90.00, 90.00, 90.00 degrees
Fractional coordinates of all 5 atoms:
Bi: 0.500 0.500 0.500
P: 0.000 0.500 0.000
P: 0.500 0.000 0.000
Al: 0.000 0.000 0.000
O: 0.000 0.000 0.500

## Properties
crystal system: tetragonal
energy above the most stable polymorph in this dataset: 0.0000 eV/atom
SG: P4/mmm

Below is a relaxed structure of AlBiPO2, with properties calculated at the PBE level.

Cell lengths 4.142, 4.142, 5.499 Å; angles 90.00, 90.00, 90.00 degrees
Fractional coordinates of all 5 atoms:
P: 0.000 0.000 0.500
O: 0.000 0.500 0.000
O: 0.500 0.000 0.000
Bi: 0.000 0.000 0.000
Al: 0.500 0.500 0.500

## Properties
crystal system: tetragonal
energy above the most stable polymorph in this dataset: 0.8552 eV/atom
SG: P4/mmm

Below is a relaxed structure of AlBiP2O8, with properties calculated at the PBE level.

Cell lengths 4.777, 4.777, 6.967 Å; angles 88.38, 88.38, 66.01 degrees
Fractional coordinates of all 12 atoms:
O: 0.714 0.221 0.797
O: 0.286 0.779 0.203
O: 0.221 0.714 0.797
O: 0.778 0.778 0.063
O: 0.708 0.708 0.429
O: 0.292 0.292 0.571
O: 0.779 0.286 0.203
O: 0.222 0.222 0.937
P: 0.644 0.644 0.222
P: 0.356 0.356 0.778
Bi: 0.000 0.000 0.500
Al: 0.000 0.000 0.000

## Properties
crystal system: monoclinic
VASP energy: -7.097 eV per atom
SG: C2/m

Below is a relaxed structure of AlBiPO2, with properties calculated at the PBE level.

Cell lengths 3.834, 3.834, 4.941 Å; angles 90.00, 90.00, 90.00 degrees
Fractional coordinates of all 5 atoms:
P: 0.000 0.000 0.500
Al: 0.000 0.000 0.000
O: 0.000 0.500 0.000
O: 0.500 0.000 0.000
Bi: 0.500 0.500 0.500

## Properties
crystal system: tetragonal
energy above the most stable polymorph in this dataset: 0.0000 eV/atom
SG: P4/mmm

Below is a relaxed structure of AlBiP2O, with properties calculated at the PBE level.

Cell lengths 4.284, 4.853, 4.284 Å; angles 90.00, 90.00, 90.00 degrees
Fractional coordinates of all 5 atoms:
Al: 0.500 0.500 0.500
Bi: 0.000 0.500 0.000
O: 0.000 0.000 0.000
P: 0.500 0.000 0.000
P: 0.000 0.000 0.500

## Properties
crystal system: tetragonal
energy above the most stable polymorph in this dataset: 0.7234 eV/atom
SG: P4/mmm

Below is a relaxed structure of PaAlBiO6, with properties calculated at the PBE level.

Cell lengths 4.835, 5.330, 5.330 Å; angles 120.00, 90.00, 90.00 degrees
Fractional coordinates of all 9 atoms:
O: 0.266 0.291 0.309
O: 0.734 0.291 0.983
O: 0.266 0.691 0.983
O: 0.266 0.017 0.709
O: 0.734 0.017 0.309
O: 0.734 0.691 0.709
Al: 0.500 0.000 0.000
Bi: 0.500 0.667 0.333
Pa: 0.000 0.333 0.667

## Properties
crystal system: trigonal
VASP energy: -7.643 eV per atom
SG: P312